First-principles (PBE) data for a geometry-optimized CuCSN structure, as listed in Alexandria via LeMat-Bulk.

Computed properties:
calculated volume	12.54	Å³/atom
uncorrected formation energy	1.07	eV/atom
symmetry	Cm, No. 8
calculated total energy	-21.48	eV per cell

Cell lengths 3.248, 3.248, 5.671 Å; angles 109.01, 109.01, 65.48 degrees
Atoms (fractional coordinates):
Cu 0.000 0.000 0.000
C 0.389 0.389 0.140
S 0.503 0.503 0.456
N 0.801 0.801 0.632

---

First-principles (PBE) data for a geometry-optimized Tb2Pr3Tm4 structure, as listed in Alexandria via LeMat-Bulk.

Computed properties:
calculated volume	32.37	Å³/atom
energy of formation	0.023	eV per atom
symmetry	P-1, No. 2
calculated total energy	-41.27	eV per cell

Cell lengths 6.183, 6.214, 7.985 Å; angles 75.20, 82.80, 80.40 degrees
Atoms (fractional coordinates):
Tb 0.166 0.332 0.167
Tb 0.834 0.668 0.833
Pr 0.389 0.442 0.725
Pr 0.500 0.000 0.500
Pr 0.611 0.558 0.275
Tm 0.053 0.778 0.388
Tm 0.274 0.889 0.947
Tm 0.726 0.111 0.053
Tm 0.947 0.222 0.612

---

First-principles (PBE) data for a geometry-optimized ScNi2Ir2 structure, as listed in Alexandria via LeMat-Bulk.

Computed properties:
calculated volume	15.41	Å³/atom
energy of formation	-0.153	eV per atom
symmetry	I4/mmm, No. 139
calculated total energy	-36.38	eV per cell

Cell lengths 6.482, 6.482, 6.482 Å; angles 147.81, 147.81, 46.17 degrees
Atoms (fractional coordinates):
Sc 0.000 0.000 0.000
Ni 0.250 0.750 0.500
Ni 0.750 0.250 0.500
Ir 0.397 0.397 0.000
Ir 0.603 0.603 0.000

---

First-principles (PBE) data for a geometry-optimized Dy2Er3In structure, as listed in Alexandria via LeMat-Bulk.

Computed properties:
calculated volume	29.18	Å³/atom
energy of formation	-0.161	eV per atom
symmetry	Cmmm, No. 65
calculated total energy	-26.60	eV per cell

Cell lengths 7.860, 7.860, 4.847 Å; angles 90.00, 90.00, 144.23 degrees
Atoms (fractional coordinates):
Dy 0.162 0.838 0.000
Dy 0.838 0.162 0.000
Er 0.000 0.000 0.500
Er 0.332 0.668 0.500
Er 0.668 0.332 0.500
In 0.500 0.500 0.000

---

First-principles (PBE) data for a geometry-optimized LiTcAs2 structure, as listed in Alexandria via LeMat-Bulk.

Computed properties:
calculated volume	15.05	Å³/atom
energy of formation	-0.043	eV per atom
symmetry	Cmmm, No. 65
calculated total energy	-21.75	eV per cell

Cell lengths 4.424, 4.424, 3.125 Å; angles 90.00, 90.00, 100.18 degrees
Atoms (fractional coordinates):
Li 0.000 0.000 0.000
Tc 0.500 0.500 0.000
As 0.000 0.500 0.500
As 0.500 0.000 0.500

---

First-principles (PBE) data for a geometry-optimized ZrPaIr2 structure, as listed in Alexandria via LeMat-Bulk.

Computed properties:
calculated volume	20.40	Å³/atom
energy of formation	-0.869	eV per atom
symmetry	P2/c, No. 13
calculated total energy	-156.97	eV per cell

Cell lengths 5.494, 5.469, 11.205 Å; angles 90.00, 104.17, 90.00 degrees
Atoms (fractional coordinates):
Zr 0.197 0.123 0.146
Zr 0.197 0.877 0.646
Zr 0.803 0.123 0.354
Zr 0.803 0.877 0.854
Pa 0.306 0.379 0.862
Pa 0.306 0.621 0.362
Pa 0.694 0.379 0.638
Pa 0.694 0.621 0.138
Ir 0.173 0.375 0.600
Ir 0.173 0.625 0.100
Ir 0.322 0.121 0.403
Ir 0.322 0.879 0.903
Ir 0.678 0.121 0.097
Ir 0.678 0.879 0.597
Ir 0.827 0.375 0.900
Ir 0.827 0.625 0.400

---

First-principles (PBE) data for a geometry-optimized CrSi4Mo structure, as listed in Alexandria via LeMat-Bulk.

Computed properties:
calculated volume	12.80	Å³/atom
uncorrected formation energy	-0.42	eV/atom
symmetry	C2/m, No. 12
calculated total energy	-44.68	eV per cell

Cell lengths 4.456, 4.456, 6.299 Å; angles 110.64, 110.64, 41.53 degrees
Atoms (fractional coordinates):
Cr 0.000 0.000 0.000
Si 0.336 0.336 0.160
Si 0.337 0.337 0.677
Si 0.663 0.663 0.323
Si 0.664 0.664 0.840
Mo 0.000 0.000 0.500

---

First-principles (PBE) data for a geometry-optimized Y2CF structure, as listed in Alexandria via LeMat-Bulk.

Computed properties:
calculated volume	20.47	Å³/atom
uncorrected formation energy	-1.28	eV/atom
symmetry	I-42d, No. 122
calculated total energy	-58.26	eV per cell

Cell lengths 6.765, 6.765, 6.765 Å; angles 132.76, 132.76, 69.02 degrees
Atoms (fractional coordinates):
Y 0.105 0.625 0.980
Y 0.375 0.355 0.480
Y 0.645 0.125 0.020
Y 0.875 0.895 0.520
C 0.000 0.000 0.000
C 0.750 0.250 0.500
F 0.250 0.750 0.500
F 0.500 0.500 0.000

---

First-principles (PBE) data for a geometry-optimized Ce2SnRu structure, as listed in Alexandria via LeMat-Bulk.

Computed properties:
calculated volume	30.94	Å³/atom
energy of formation	-0.011	eV per atom
symmetry	R-3m, No. 166
calculated total energy	-25.19	eV per cell

Cell lengths 9.981, 9.981, 9.981 Å; angles 22.13, 22.13, 22.13 degrees
Atoms (fractional coordinates):
Ce 0.111 0.111 0.111
Ce 0.889 0.889 0.889
Sn 0.000 0.000 0.000
Ru 0.500 0.500 0.500

---

First-principles (PBE) data for a geometry-optimized Sn2Pt2Pb structure, as listed in Alexandria via LeMat-Bulk.

Computed properties:
calculated volume	21.63	Å³/atom
energy of formation	-0.230	eV per atom
symmetry	P4/mbm, No. 127
calculated total energy	-49.89	eV per cell

Cell lengths 8.110, 8.110, 3.289 Å; angles 90.00, 90.00, 90.00 degrees
Atoms (fractional coordinates):
Sn 0.158 0.342 0.000
Sn 0.342 0.842 0.000
Sn 0.658 0.158 0.000
Sn 0.842 0.658 0.000
Pt 0.132 0.632 0.500
Pt 0.368 0.132 0.500
Pt 0.632 0.868 0.500
Pt 0.868 0.368 0.500
Pb 0.000 0.000 0.500
Pb 0.500 0.500 0.500

---

First-principles (PBE) data for a geometry-optimized TbPm2NdHo5 structure, as listed in Alexandria via LeMat-Bulk.

Computed properties:
calculated volume	32.60	Å³/atom
energy of formation	0.264	eV per atom
symmetry	I4/mcm, No. 140
calculated total energy	-78.83	eV per cell

Cell lengths 9.873, 9.873, 9.873 Å; angles 127.56, 127.56, 77.34 degrees
Atoms (fractional coordinates):
Tb 0.250 0.750 0.500
Tb 0.750 0.250 0.500
Pm 0.116 0.616 0.733
Pm 0.384 0.116 0.500
Pm 0.616 0.884 0.500
Pm 0.884 0.384 0.267
Nd 0.250 0.250 0.000
Nd 0.750 0.750 0.000
Ho 0.000 0.000 0.000
Ho 0.072 0.154 0.500
Ho 0.154 0.654 0.081
Ho 0.346 0.428 0.500
Ho 0.428 0.928 0.081
Ho 0.500 0.500 0.000
Ho 0.572 0.072 0.919
Ho 0.654 0.572 0.500
Ho 0.846 0.346 0.919
Ho 0.928 0.846 0.500

---

First-principles (PBE) data for a geometry-optimized Pr2ThAl6 structure, as listed in Alexandria via LeMat-Bulk.

Computed properties:
calculated volume	23.38	Å³/atom
energy of formation	-0.461	eV per atom
symmetry	P6/mmm, No. 191
calculated total energy	-43.58	eV per cell

Cell lengths 7.897, 7.897, 3.896 Å; angles 90.00, 90.00, 120.00 degrees
Atoms (fractional coordinates):
Pr 0.333 0.667 0.000
Pr 0.667 0.333 0.000
Th 0.000 0.000 0.000
Al 0.000 0.332 0.500
Al 0.000 0.668 0.500
Al 0.332 0.000 0.500
Al 0.332 0.332 0.500
Al 0.668 0.000 0.500
Al 0.668 0.668 0.500